No. 1
Nd3Ti5N12: optimized geometry, PBE.

The space group is Ia-3d (No. 230) and the conventional cell measures 12.9552, 12.9552 and 12.9552 Å, with angles of 90.00, 90.00 and 90.00 degrees. Symmetry generates all atoms from Nd at (0.0000, 0.2500, 0.1250), Ti at (0.0000, 0.0000, 0.0000), Ti at (0.0000, 0.2500, 0.3750) and N at (0.0321, 0.0520, 0.6475).

The calculation puts the uncorrected formation energy at -16.7 kcal/mol of atoms. For the density of states at the Fermi level, the calculation gives 108.72 states/eV/cell.

No. 2
NdTmTiN3: optimized geometry, PBE.

The space group is P2_1/m (No. 11) and the conventional cell measures 7.1763, 3.5213 and 7.7245 Å, with angles of 90.00, 98.89 and 90.00 degrees. Symmetry generates all atoms from Nd at (0.1737, 0.2500, 0.1770), Tm at (0.3647, 0.7500, 0.8493), Ti at (0.1063, 0.2500, 0.5973), N at (0.1184, 0.2500, 0.8498), N at (0.1751, 0.7500, 0.5131) and N at (0.4110, 0.7500, 0.1411).

The calculation puts the uncorrected formation energy at -30.8 kcal/mol of atoms. For the density of states at the Fermi level, the calculation gives 3.15 states/eV/cell.

No. 3
Nd2TiWN5: optimized geometry, PBE.

The space group is Cmc2_1 (No. 36) and the conventional cell measures 3.3779, 13.3960 and 10.5340 Å, with angles of 90.00, 90.00 and 90.00 degrees. Symmetry generates all atoms from Nd at (0.0000, 0.1094, 0.0000), Nd at (0.0000, 0.1495, 0.6162), Ti at (0.0000, 0.2232, 0.3373), W at (0.0000, 0.4623, 0.7712), N at (0.0000, 0.0507, 0.3608), N at (0.0000, 0.2821, 0.9637), N at (0.0000, 0.3218, 0.7047), N at (0.0000, 0.3671, 0.3199) and N at (0.0000, 0.4903, 0.1041).

The calculation puts the uncorrected formation energy at -26.1 kcal/mol of atoms. For the density of states at the Fermi level, the calculation gives 12.09 states/eV/cell.

No. 4
Nd9Tl3N2: optimized geometry, PBE.

The space group is P-3m1 (No. 164) and the conventional cell measures 7.1490, 7.1490 and 8.7554 Å, with angles of 90.00, 90.00 and 120.00 degrees. Symmetry generates all atoms from Nd at (0.0000, 0.5000, 0.0000), Nd at (0.1704, 0.3408, 0.6721), Tl at (0.0000, 0.0000, 0.0000), Tl at (0.3333, 0.6667, 0.3333) and N at (0.3333, 0.6667, 0.8305).

The calculation puts the uncorrected formation energy at -14.2 kcal/mol of atoms. For the density of states at the Fermi level, the calculation gives 8.48 states/eV/cell.

No. 5
Nd2TlN: optimized geometry, PBE.

The space group is C2/m (No. 12) and the conventional cell measures 6.3197, 3.7339 and 8.5939 Å, with angles of 90.00, 106.35 and 90.00 degrees. Symmetry generates all atoms from Nd at (0.2332, 0.0000, 0.1688), Tl at (0.0000, 0.0000, 0.5000) and N at (0.0000, 0.5000, 0.0000).

The calculation puts the uncorrected formation energy at -19.3 kcal/mol of atoms. For the density of states at the Fermi level, the calculation gives 7.79 states/eV/cell.

No. 6
Nd7Tl2N: optimized geometry, PBE.

The space group is Fm-3m (No. 225) and the conventional cell measures 10.5886, 10.5886 and 10.5886 Å, with angles of 90.00, 90.00 and 90.00 degrees. Symmetry generates all atoms from Nd at (0.0000, 0.0000, 0.0000), Nd at (0.0000, 0.0000, 0.2695), Tl at (0.2500, 0.2500, 0.2500) and N at (0.0000, 0.0000, 0.5000).

The calculation puts the uncorrected formation energy at -0.1 kcal/mol of atoms. For the density of states at the Fermi level, the calculation gives 39.28 states/eV/cell.

No. 7
Nd4TlN2: optimized geometry, PBE.

The space group is R-3m (No. 166, hexagonal axes) and the conventional cell measures 3.6631, 3.6631 and 44.1039 Å, with angles of 90.00, 90.00 and 120.00 degrees. Symmetry generates all atoms from Nd at (0.0000, 0.0000, 0.1250), Nd at (0.0000, 0.0000, 0.2712), Tl at (0.0000, 0.0000, 0.0000) and N at (0.0000, 0.0000, 0.4275).

The calculation puts the uncorrected formation energy at -19.4 kcal/mol of atoms. For the density of states at the Fermi level, the calculation gives 22.24 states/eV/cell.

No. 8
Nd5Tl2N2: optimized geometry, PBE.

The space group is P4/mmm (No. 123) and the conventional cell measures 4.9283, 4.9283 and 10.0055 Å, with angles of 90.00, 90.00 and 90.00 degrees. Symmetry generates all atoms from Nd at (0.0000, 0.0000, 0.0000), Nd at (0.0000, 0.5000, 0.2783), Tl at (0.5000, 0.5000, 0.0000), Tl at (0.5000, 0.5000, 0.5000) and N at (0.0000, 0.0000, 0.2397).

The calculation puts the uncorrected formation energy at -16.0 kcal/mol of atoms. For the density of states at the Fermi level, the calculation gives 6.12 states/eV/cell.

No. 9
Nd6Tl3N: optimized geometry, PBE.

The space group is C2/m (No. 12) and the conventional cell measures 12.2632, 6.9457 and 7.0447 Å, with angles of 90.00, 98.03 and 90.00 degrees. Symmetry generates all atoms from Nd at (0.1089, 0.2421, 0.3559), Nd at (0.1377, 0.0000, 0.8464), Tl at (0.0000, 0.5000, 0.0000), Tl at (0.1752, 0.5000, 0.7465) and N at (0.0000, 0.0000, 0.5000).

The calculation puts the uncorrected formation energy at -9.2 kcal/mol of atoms. For the density of states at the Fermi level, the calculation gives 19.70 states/eV/cell.

No. 10
Nd4Tl2N: optimized geometry, PBE.

The space group is P2/m (No. 10) and the conventional cell measures 6.5752, 3.6831 and 8.4618 Å, with angles of 90.00, 104.35 and 90.00 degrees. Symmetry generates all atoms from Nd at (0.1434, 0.0000, 0.3136), Nd at (0.2355, 0.5000, 0.9724), Tl at (0.4005, 0.5000, 0.6544) and N at (0.0000, 0.0000, 0.0000).

The calculation puts the uncorrected formation energy at -11.0 kcal/mol of atoms. For the density of states at the Fermi level, the calculation gives 6.37 states/eV/cell. Its energy above the most stable polymorph in this dataset is 0.0000 eV/atom.

No. 11
Nd2TlN: optimized geometry, PBE.

The space group is P4/mmm (No. 123) and the conventional cell measures 3.2305, 3.2305 and 8.3090 Å, with angles of 90.00, 90.00 and 90.00 degrees. Symmetry generates all atoms from Nd at (0.0000, 0.0000, 0.1795), Tl at (0.5000, 0.5000, 0.5000) and N at (0.5000, 0.5000, 0.0000).

The calculation puts the uncorrected formation energy at -9.2 kcal/mol of atoms. For the density of states at the Fermi level, the calculation gives 3.09 states/eV/cell.

No. 12
Nd4Tl2N: optimized geometry, PBE.

The space group is Cmmm (No. 65) and the conventional cell measures 5.1707, 24.2232 and 3.5333 Å, with angles of 90.00, 90.00 and 90.00 degrees. Symmetry generates all atoms from Nd at (0.0000, 0.0671, 0.0000), Nd at (0.0000, 0.2024, 0.5000), Tl at (0.0000, 0.3409, 0.0000) and N at (0.0000, 0.0000, 0.5000).

The calculation puts the uncorrected formation energy at -8.0 kcal/mol of atoms. For the density of states at the Fermi level, the calculation gives 12.76 states/eV/cell. Its energy above the most stable polymorph in this dataset is 0.1318 eV/atom.